--- P ---
First-principles (GGA-PBE) data for crystalline Ac2PrY at its relaxed geometry, as listed in Alexandria.

Output
* space group: No. 123
* crystal system: tetragonal
* size of the total moment: 0.00 μB per cell

Structure (POSCAR):
```
Ac2PrY
1.0
-5.0893 -1.2827 -0.5959
0.9299 -4.8007 2.3915
-1.1223 2.1993 4.8513
Y Ac Pr
1 2 1
direct
0.5000 0.0000 0.0000 Y
0.0000 0.0000 0.5000 Ac
0.0000 0.5000 0.0000 Ac
0.5000 0.5000 0.5000 Pr
```

---

--- Q ---
First-principles (GGA-PBE) data for crystalline Ac2PrY at its relaxed geometry, as listed in Alexandria.

Output
* space group: No. 123
* crystal system: tetragonal
* size of the total moment: 0.00 μB per cell

Structure (POSCAR):
```
Ac2PrY
1.0
-2.6181 -0.3693 2.8483
2.6859 -1.6803 2.2509
2.7198 9.3144 3.7077
Ac Pr Y
2 1 1
direct
0.0000 0.0000 0.7548 Ac
0.0000 0.0000 0.2452 Ac
0.5000 0.5000 0.5000 Pr
0.5000 0.5000 0.0000 Y
```

---

Least stable: Q

---

--- P ---
First-principles (GGA-PBE) data for crystalline Ac2PrY at its relaxed geometry, as listed in Alexandria.

Output
* space group: No. 160
* crystal system: trigonal
* size of the total moment: 0.00 μB per cell

Structure (POSCAR):
```
Ac2PrY
1.0
-2.7403 -1.1888 2.4196
-1.6458 -3.4378 -0.4994
7.0883 -6.6758 7.8013
Y Ac Pr
1 2 1
direct
0.6674 0.6674 0.9977 Y
0.2515 0.2515 0.2455 Ac
0.0820 0.0820 0.7539 Ac
0.4990 0.4990 0.5029 Pr
```

---

--- Q ---
First-principles (GGA-PBE) data for crystalline Ac2PrY at its relaxed geometry, as listed in Alexandria.

Output
* space group: No. 166
* crystal system: trigonal
* size of the total moment: 0.00 μB per cell

Structure (POSCAR):
```
Ac2PrY
1.0
3.7492 0.0000 0.0000
1.8746 3.2469 0.0000
1.8746 1.0823 13.2125
Ac Y Pr
2 1 1
direct
0.9103 0.9103 0.2692 Ac
0.0897 0.0897 0.7308 Ac
0.5000 0.5000 0.5000 Y
0.0000 0.0000 0.0000 Pr
```

---

Least stable: Q

---

--- P ---
First-principles (GGA-PBE) data for crystalline Ac2PrY at its relaxed geometry, as listed in Alexandria.

Output
* space group: No. 47
* crystal system: orthorhombic
* size of the total moment: 0.00 μB per cell

Structure (POSCAR):
```
Ac2PrY
1.0
5.2433 0.0000 -0.4851
0.0000 7.7399 0.0000
0.7112 0.0000 7.6648
Ac Pr Y
4 2 2
direct
0.0002 0.5000 0.7515 Ac
0.9998 0.5000 0.2485 Ac
0.0002 0.0000 0.7515 Ac
0.9998 0.0000 0.2485 Ac
0.4999 0.2500 0.5000 Pr
0.5001 0.7500 0.5000 Pr
0.5001 0.7500 0.9998 Y
0.4999 0.2500 0.0002 Y
```

---

--- Q ---
First-principles (GGA-PBE) data for crystalline Ac2PrY at its relaxed geometry, as listed in Alexandria.

Output
* space group: No. 225
* crystal system: cubic
* size of the total moment: 0.00 μB per cell

Structure (POSCAR):
```
Ac2PrY
1.0
-0.0432 -0.7570 6.0197
-4.0044 -3.7754 2.5541
1.8819 -5.2394 2.4122
Ac Y Pr
2 1 1
direct
0.7500 0.7500 0.7500 Ac
0.2500 0.2500 0.2500 Ac
0.5000 0.5000 0.5000 Y
0.0000 0.0000 0.0000 Pr
```

---

Least stable: Q